1.
Computed, not measured: a relaxed Pr3ZnNi crystal at the PBE-GGA level of DFT.

**Total moment**: 0.00 μB per atom
**Energy above the lowest structure with this stoichiometry**: 0.453 eV/f.u.

abc: 6.9358 5.2320 7.6337
angles: 90.00 93.45 90.00
Space group Pm (No. 6)
One atom of each set of equivalent atoms:
Pr (0.0000, 0.0000, 0.0000) (multiplicity 1)
Pr (0.0425, 0.5000, 0.3324) (multiplicity 1)
Pr (0.2964, 0.0000, 0.6222) (multiplicity 1)
Pr (0.4556, 0.0000, 0.1744) (multiplicity 1)
Pr (0.5845, 0.5000, 0.8665) (multiplicity 1)
Pr (0.7977, 0.0000, 0.5250) (multiplicity 1)
Zn (0.0596, 0.5000, 0.7450) (multiplicity 1)
Zn (0.5123, 0.5000, 0.4050) (multiplicity 1)
Ni (0.2396, 0.5000, 0.0425) (multiplicity 1)
Ni (0.6300, 0.0000, 0.8443) (multiplicity 1)

***

2.
Computed, not measured: a relaxed LaCeNiOs crystal at the PBE-GGA level of DFT.

**Total moment**: 0.09 μB per atom

abc: 7.0021 7.0021 7.0021
angles: 90.00 90.00 90.00
Space group F-43m (No. 216)
One atom of each set of equivalent atoms:
La (0.0000, 0.0000, 0.0000) (multiplicity 4)
Ce (0.0000, 0.0000, 0.5000) (multiplicity 4)
Ni (0.2500, 0.2500, 0.7500) (multiplicity 4)
Os (0.2500, 0.2500, 0.2500) (multiplicity 4)

***

3.
Computed, not measured: a relaxed Pa2Ni2Pd crystal at the PBE-GGA level of DFT.

**Total moment**: 0.00 μB per atom
**Energy above the lowest structure with this stoichiometry**: 0.107 eV/f.u.

abc: 3.7850 6.1829 7.8445
angles: 90.00 90.00 90.00
Space group Immm (No. 71)
One atom of each set of equivalent atoms:
Pa (0.0000, 0.0000, 0.2191) (multiplicity 4)
Ni (0.0000, 0.3023, 0.5000) (multiplicity 4)
Pd (0.0000, 0.5000, 0.0000) (multiplicity 2)

***

4.
Computed, not measured: a relaxed CoAgRu2 crystal at the PBE-GGA level of DFT.

**Total moment**: 0.46 μB per atom

abc: 2.7304 3.7630 5.5716
angles: 90.00 90.00 90.00
Space group Pmm2 (No. 25)
One atom of each set of equivalent atoms:
Co (0.0000, 0.0000, 0.0000) (multiplicity 1)
Ag (0.5000, 0.5000, 0.7410) (multiplicity 1)
Ru (0.0000, 0.0000, 0.4450) (multiplicity 1)
Ru (0.5000, 0.5000, 0.2350) (multiplicity 1)

***

Quick rundown of calculated density, same order as above: 6.6, 10.2, 12.4, 10.7 g/cm³
Quick rundown of ΔE_f, same order as above: -50, -49, -214, 148 kJ/mol of formula units